BaCdRu2 (PBE-GGA, optimized geometry); formation energy from the elements = 68 kJ per mole of atoms; calculated total energy = -4.64 eV/atom; volume = 23.03 Å³/atom; symmetry = P4/mmm
1.0
3.620 0.000 0.000
0.000 3.620 0.000
0.000 0.000 7.029
Ba Cd Ru
1 1 2
Cartesian
0.000 0.000 0.000
0.000 0.000 3.515
1.810 1.810 2.290
1.810 1.810 4.740